Entry from Alexandria via LeMat-Bulk: a relaxed structure of Pa2Si5Rh3 (PBE).

```
Pa2Si5Rh3
1.0
-3.761 -4.557 -0.086
2.381 -5.697 -5.248
2.673 -6.124 4.585
Pa Si Rh
4 10 6
direct
0.133 0.598 0.137
0.633 0.137 0.598
0.867 0.402 0.863
0.367 0.863 0.402
0.391 0.262 0.957
0.891 0.957 0.262
0.609 0.738 0.043
0.109 0.043 0.738
0.474 0.776 0.776
0.526 0.224 0.224
0.750 0.500 0.500
0.250 0.500 0.500
0.026 0.224 0.224
0.974 0.776 0.776
0.360 0.529 0.751
0.860 0.751 0.529
0.640 0.471 0.249
0.140 0.249 0.471
0.250 0.000 0.000
0.750 0.000 0.000
```

Results
- density of states at the Fermi level (states/eV per cell) = 11.817
- formation energy from raw total energies (eV per atom) = -0.88

Entry from Alexandria via LeMat-Bulk: a relaxed structure of NaGaCu2S4 (PBE).

```
NaGaCu2S4
1.0
-4.588 -0.021 -4.262
-4.544 -1.979 3.828
3.656 4.946 1.177
Na Ga Cu S
1 1 2 4
direct
0.500 0.500 0.000
0.000 0.000 0.000
0.750 0.250 0.500
0.250 0.750 0.500
0.633 0.633 0.557
0.924 0.367 0.000
0.367 0.924 0.000
0.076 0.076 0.443
```

Results
- density of states at the Fermi level (states/eV per cell) = 7.732
- formation energy from raw total energies (eV per atom) = -0.48

Entry from Alexandria via LeMat-Bulk: a relaxed structure of CrC2 (PBE).

```
CrC2
1.0
-3.963 1.785 -3.185
3.739 -3.344 -1.968
-1.558 -2.167 0.723
Cr C
3 6
direct
0.333 0.667 0.000
0.667 0.333 0.000
0.000 0.000 0.500
0.265 0.000 0.000
0.000 0.265 0.000
0.735 0.735 0.000
0.619 0.000 0.500
0.000 0.619 0.500
0.381 0.381 0.500
```

Results
- density of states at the Fermi level (states/eV per cell) = 5.284
- offset from the most stable computed form (meV per atom) = 922

Entry from Alexandria via LeMat-Bulk: a relaxed structure of HoBF (PBE).

```
HoBF
1.0
4.085 -0.306 0.047
1.135 3.936 0.047
0.441 0.306 6.249
Ho B F
2 2 2
direct
0.852 0.852 0.773
0.148 0.148 0.227
0.354 0.646 0.000
0.646 0.354 0.000
0.817 0.817 0.419
0.183 0.183 0.581
```

Results
- density of states at the Fermi level (states/eV per cell) = 0.069
- formation energy from raw total energies (eV per atom) = -1.66

Entry from Alexandria via LeMat-Bulk: a relaxed structure of YSiRh4 (PBE).

```
YSiRh4
1.0
0.000 3.686 3.686
3.686 0.000 3.686
3.686 3.686 0.000
Y Si Rh
1 1 4
direct
0.000 0.000 0.000
0.750 0.750 0.750
0.872 0.376 0.376
0.376 0.376 0.872
0.376 0.872 0.376
0.376 0.376 0.376
```

Results
- density of states at the Fermi level (states/eV per cell) = 8.657
- formation energy from raw total energies (eV per atom) = -0.29

Entry from Alexandria via LeMat-Bulk: a relaxed structure of Er3Pa5N12 (PBE).

```
Er3Pa5N12
1.0
-4.308 -8.143 -7.670
9.512 -4.534 5.716
-8.477 2.846 7.984
N Pa Er
48 20 12
direct
0.703 0.140 0.032
0.329 0.532 0.392
0.968 0.360 0.297
0.532 0.203 0.140
0.563 0.703 0.671
0.968 0.608 0.171
0.329 0.797 0.437
0.108 0.937 0.140
0.608 0.968 0.671
0.703 0.563 0.171
0.797 0.468 0.360
0.829 0.892 0.032
0.140 0.703 0.532
0.360 0.392 0.063
0.063 0.892 0.360
0.437 0.140 0.608
0.063 0.171 0.203
0.468 0.671 0.108
0.829 0.937 0.297
0.140 0.437 0.108
0.360 0.968 0.797
0.608 0.640 0.437
0.892 0.829 0.532
0.797 0.329 0.937
0.392 0.360 0.563
0.108 0.171 0.468
0.203 0.671 0.063
0.171 0.063 0.703
0.640 0.032 0.203
0.860 0.563 0.892
0.532 0.329 0.892
0.563 0.860 0.392
0.937 0.829 0.797
0.937 0.108 0.640
0.860 0.297 0.468
0.171 0.108 0.968
0.640 0.608 0.937
0.392 0.032 0.329
0.297 0.437 0.829
0.203 0.532 0.640
0.892 0.063 0.860
0.671 0.203 0.563
0.468 0.797 0.860
0.032 0.392 0.829
0.437 0.297 0.329
0.032 0.640 0.703
0.671 0.468 0.608
0.297 0.860 0.968
0.125 0.375 0.250
0.000 0.500 0.000
0.000 0.000 0.000
0.375 0.250 0.125
0.500 0.000 0.500
0.500 0.500 0.000
0.125 0.750 0.375
0.750 0.125 0.875
0.750 0.625 0.375
0.375 0.125 0.750
0.625 0.875 0.250
0.500 0.500 0.500
0.500 0.000 0.000
0.000 0.000 0.500
0.250 0.375 0.625
0.250 0.875 0.125
0.000 0.500 0.500
0.875 0.250 0.625
0.625 0.750 0.875
0.875 0.625 0.750
0.750 0.375 0.125
0.875 0.750 0.125
0.375 0.750 0.625
0.250 0.125 0.375
0.875 0.125 0.250
0.375 0.625 0.250
0.625 0.375 0.750
0.125 0.875 0.750
0.750 0.875 0.625
0.625 0.250 0.375
0.125 0.250 0.875
0.250 0.625 0.875
```

Results
- density of states at the Fermi level (states/eV per cell) = 41.799
- formation energy from raw total energies (eV per atom) = -1.25

Entry from Alexandria via LeMat-Bulk: a relaxed structure of Mg3FeRe (PBE).

```
Mg3FeRe
1.0
-2.748 3.716 -0.738
-3.786 -2.726 0.371
-0.135 0.815 4.607
Re Mg Fe
1 3 1
direct
0.500 0.500 0.500
0.000 0.500 0.000
0.000 0.000 0.500
0.500 0.000 0.000
0.000 0.000 0.000
```

Results
- density of states at the Fermi level (states/eV per cell) = 2.959
- offset from the most stable computed form (meV per atom) = 0

Entry from Alexandria via LeMat-Bulk: a relaxed structure of CaTbHgPb (PBE).

```
CaTbHgPb
1.0
3.974 0.000 0.000
0.000 5.254 0.000
0.000 0.000 5.349
Ca Tb Hg Pb
1 1 1 1
direct
0.500 0.000 0.500
0.500 0.500 0.000
0.000 0.500 0.500
0.000 0.000 0.000
```

Results
- density of states at the Fermi level (states/eV per cell) = 2.240
- offset from the most stable computed form (meV per atom) = 0

Entry from Alexandria via LeMat-Bulk: a relaxed structure of Ti6Ga5Ir (PBE).

```
Ti6Ga5Ir
1.0
3.777 1.165 -0.001
1.451 8.709 0.000
0.724 4.355 5.983
Ti Ga Ir
6 5 1
direct
0.754 0.079 0.333
0.246 0.587 0.333
0.257 0.243 0.000
0.743 0.757 0.000
0.754 0.413 0.667
0.246 0.921 0.667
0.500 0.164 0.672
0.000 0.338 0.325
0.500 0.500 0.000
0.000 0.662 0.675
0.500 0.836 0.328
0.000 0.000 0.000
```

Results
- density of states at the Fermi level (states/eV per cell) = 9.926

Entry from Alexandria via LeMat-Bulk: a relaxed structure of Tb12Tm6Tl (PBE).

```
Tb12Tm6Tl
1.0
8.830 -0.967 -2.758
-3.460 8.182 -2.758
-0.720 -0.967 9.223
Tb Tm Tl
12 6 1
direct
0.372 0.054 0.585
0.054 0.585 0.372
0.585 0.372 0.054
0.628 0.946 0.415
0.946 0.415 0.628
0.415 0.628 0.946
0.265 0.897 0.845
0.155 0.735 0.103
0.103 0.155 0.735
0.735 0.103 0.155
0.845 0.265 0.897
0.897 0.845 0.265
0.213 0.317 0.473
0.683 0.527 0.787
0.527 0.787 0.683
0.787 0.683 0.527
0.317 0.473 0.213
0.473 0.213 0.317
0.000 0.000 0.000
```

Results
- density of states at the Fermi level (states/eV per cell) = 25.206
- offset from the most stable computed form (meV per atom) = 0

Across the entries above, E_tot takes the values -7.6939; -4.1102; -7.9403; -6.0317; -7.1771; -9.3003; -3.7918; -3.1693; -6.4797; -4.4651 eV/atom, respectively.